Entry 1:
Compound: RbNa2Tl2
Source: the Alexandria database
Functional: GGA-PBE
Structure: optimized geometry

Geometry as POSCAR:
```
RbNa2Tl2
1.0
-4.888 -8.300 -2.073
2.379 -3.612 8.853
-3.003 1.422 1.387
Tl Na Rb
4 4 2
Cartesian
-4.783 -7.414 1.920
-0.729 -3.076 6.248
-2.737 -2.659 1.474
-2.775 -7.831 6.694
-2.759 -5.647 -0.184
-2.785 -9.517 3.727
0.276 -2.395 3.054
0.250 -6.265 6.965
0.000 0.000 0.000
-1.254 -5.956 3.390
```

excess energy over the best structure of this formula in the dataset = 1 meV per atom
SG = P4/mbm
volume = 349.6 Å³ per cell
total magnetization = 0.0 Bohr magnetons per cell
formation energy from the elements = -0.050 eV per atom
density = 5.1 Mg/m³

---

Entry 2:
Compound: Rb3Na9Tl2
Source: the Alexandria database
Functional: GGA-PBE
Structure: optimized geometry

Geometry as POSCAR:
```
Rb3Na9Tl2
1.0
-3.517 4.414 0.412
-8.644 -3.766 5.419
1.481 3.870 10.055
Na Rb Tl
9 3 2
Cartesian
-5.293 5.653 10.848
-9.835 1.875 12.563
-0.960 2.204 7.064
-9.721 2.314 8.821
-0.846 2.644 3.322
-5.387 -1.135 5.037
-3.582 0.052 7.737
-6.833 4.138 13.937
-3.848 0.380 1.948
-4.666 3.056 5.158
0.000 0.000 0.000
-6.014 1.463 10.727
-7.273 0.802 7.058
-3.407 3.717 8.827
```

SG = Immm
volume = 614.5 Å³ per cell
total magnetization = 0.0 Bohr magnetons per cell
formation energy from the elements = -0.005 eV per atom
density = 2.4 Mg/m³

---

Entry 3:
Compound: Rb6Na3Tl
Source: the Alexandria database
Functional: GGA-PBE
Structure: optimized geometry

Geometry as POSCAR:
```
Rb6Na3Tl
1.0
8.275 0.000 0.000
0.000 12.087 0.016
0.000 -0.009 12.567
Rb Na Tl
12 6 2
Cartesian
6.210 1.805 9.612
7.441 4.068 5.534
2.073 4.224 9.246
0.627 8.218 11.726
7.648 3.859 0.857
2.064 10.272 2.971
3.511 2.179 5.435
4.764 9.898 7.148
6.202 7.853 3.336
3.304 1.971 0.758
0.834 8.010 7.049
4.971 10.107 11.825
6.694 0.123 2.882
2.557 5.916 3.410
4.137 6.043 0.008
1.581 11.954 9.701
0.000 -0.005 6.283
5.718 6.162 9.173
0.000 0.000 0.000
4.137 6.039 6.291
```

SG = P2_1/c
volume = 1256.8 Å³ per cell
total magnetization = 0.0 Bohr magnetons per cell
formation energy from the elements = 0.016 eV per atom
density = 2.1 Mg/m³

---

- Which of these has the highest density?
  RbNa2Tl2

---

- What is the density in the second record?
  2.4 Mg/m³

---

- Among the records above, which one has the highest density?
  RbNa2Tl2